Computed, not measured: a relaxed structure of Al2CoW2 at the PBE-GGA level of DFT.

Unit cell a=5.9574 b=5.9574 c=4.1000 alpha=90.00 beta=90.00 gamma=90.00
With the nearest neighbours (Å) after each atom.
Fractional positions:
Al  0.1476  0.3524  0.0000  2 Co 2.28, 1 Al 2.49
Al  0.3524  0.8524  0.0000  2 Co 2.28, 1 Al 2.49
Al  0.6476  0.1476  0.0000  2 Co 2.28, 1 Al 2.49
Al  0.8524  0.6476  0.0000  2 Co 2.28, 1 Al 2.49
Co  0.0000  0.0000  0.0000  4 Al 2.28
Co  0.5000  0.5000  0.0000  4 Al 2.28
W  0.1564  0.6564  0.5000  6 Al 2.63-2.74, 1 W 2.64
W  0.3436  0.1564  0.5000  6 Al 2.63-2.74, 1 W 2.64
W  0.6564  0.8436  0.5000  6 Al 2.63-2.74, 1 W 2.64
W  0.8436  0.3436  0.5000  6 Al 2.63-2.74, 1 W 2.64

## Properties
* space group: P4/mbm
* offset from the most stable computed form: 0 meV per atom
* ρ: 10968 kg/m³
* ΔH_f (0 K): 0.15 eV/atom
* DOS at the Fermi energy: 1.4684 states/eV per atom
* energy: -7.952 eV/atom